No. 1
Density functional theory data (SCAN) for a crystal of LaBe2Ga2 relaxed with PBEsol.

Unit cell a=5.7028 b=5.7028 c=5.7028 alpha=137.88 beta=137.88 gamma=61.09
Atoms (fractional coordinates):
La1 0.0000 0.0000 0.0000
Be1 0.2500 0.7500 0.5000
Be2 0.7500 0.2500 0.5000
Ga1 0.3693 0.3693 0.0000
Ga2 0.6307 0.6307 0.0000

Properties
E_form: -0.436 eV per atom
Symmetry: I4/mmm, No. 139
V: 82.50 Å³ per cell

---

No. 2
Density functional theory data (SCAN) for a crystal of Dy3Al relaxed with PBEsol.

Unit cell a=6.7187 b=6.7187 c=5.2006 alpha=90.00 beta=90.00 gamma=120.00
Atoms (fractional coordinates):
Dy1 0.1751 0.3502 0.2500
Dy2 0.1751 0.8249 0.2500
Dy3 0.3502 0.1751 0.7500
Dy4 0.6498 0.8249 0.2500
Dy5 0.8249 0.1751 0.7500
Dy6 0.8249 0.6498 0.7500
Al1 0.3333 0.6667 0.7500
Al2 0.6667 0.3333 0.2500

Properties
E_form: -0.237 eV per atom
Symmetry: P6_3/mmc, No. 194
V: 203.31 Å³ per cell

---

No. 3
Density functional theory data (SCAN) for a crystal of CrCo3 relaxed with PBEsol.

Unit cell a=2.4312 b=3.4481 c=4.8819 alpha=90.00 beta=90.00 gamma=90.00
Atoms (fractional coordinates):
Cr1 0.0000 0.0000 0.0000
Co1 0.0000 0.0000 0.5000
Co2 0.5000 0.5000 0.2523
Co3 0.5000 0.5000 0.7477

Properties
E_form: 0.195 eV per atom
Symmetry: Pmmm, No. 47
V: 40.93 Å³ per cell

---

No. 4
Density functional theory data (SCAN) for a crystal of SiTeSe2Br relaxed with PBEsol.

Unit cell a=5.2936 b=5.2936 c=5.3305 alpha=90.00 beta=90.00 gamma=90.00
Atoms (fractional coordinates):
Si1 0.0000 0.0000 0.0000
Te1 0.5000 0.5000 0.5000
Se1 0.0000 0.5000 0.5000
Se2 0.5000 0.0000 0.5000
Br1 0.5000 0.5000 0.0000

Properties
Energy relative to the elements, uncorrected: 0.7407 eV per atom
Symmetry: P4/mmm, No. 123
V: 149.37 Å³ per cell